(1)
Density functional theory data (PBE) for a relaxed YSc2Cr crystal.

Cell: 3.3571 3.3571 8.2056 Å, 90.00 90.00 90.00°
Closest atoms and distances in Å follow each position.
Positions (direct):
Sc  0.0000  0.0000  0.5572  4 Cr 2.85, 1 Sc 3.16
Y  0.5000  0.5000  0.2500  4 Y 3.36, 8 Sc 3.46
Cr  0.5000  0.5000  0.7500  8 Sc 2.85
Sc  0.0000  0.0000  0.9428  4 Cr 2.85, 1 Sc 3.16

energy relative to the elements = 0.7 eV per formula unit
V = 23.120 A^3/atom
relative energy among the computed polymorphs = 0.008 eV/atom
density = 4.1 Mg/m³
SG = P4/mmm (123)

(2)
Density functional theory data (PBE) for a relaxed FeRh2Cl crystal.

Cell: 2.8855 2.8855 8.0903 Å, 90.00 90.00 115.79°
Closest atoms and distances in Å follow each position.
Positions (direct):
Fe  0.5000  0.5000  0.7500  4 Rh 2.45
Rh  0.0000  0.0000  0.9856  2 Fe 2.45, 2 Cl 2.63
Cl  0.5000  0.5000  0.2500  4 Rh 2.63, 4 Cl 2.89
Rh  0.0000  0.0000  0.5144  2 Fe 2.45, 2 Cl 2.63

V = 15.162 A^3/atom
density = 8.1 Mg/m³
formation energy (no corrections) = 0.32 eV per atom
SG = Cmmm (65)

(3)
Density functional theory data (PBE) for a relaxed LiTeH crystal.

Cell: 5.1711 5.1666 5.2779 Å, 87.90 92.47 86.15°
Closest atoms and distances in Å follow each position.
Positions (direct):
H  0.2008  0.7944  0.9756  1 Te 1.68
Li  0.2191  0.2197  0.4994  4 Te 2.83-2.85
H  0.7992  0.2056  0.0244  1 Te 1.68
Te  0.7266  0.2744  0.7153  1 H 1.68
Li  0.7809  0.7803  0.5006  4 Te 2.83-2.85
Te  0.2734  0.7256  0.2847  1 H 1.68

energy = -3.178 eV per atom
V = 23.408 A^3/atom
density = 3.2 Mg/m³
SG = P-1 (2)

(4)
Density functional theory data (PBE) for a relaxed K6Na14Tl18Zn crystal.

Cell: 10.7296 10.7296 10.7296 Å, 90.00 90.00 90.00°
Closest atoms and distances in Å follow each position.
Positions (direct):
Na  0.2809  0.7191  0.7191  6 Tl 3.32-3.33
Zn  0.0000  0.0000  0.0000  12 Tl 3.18
Na  0.2809  0.2809  0.7191  6 Tl 3.32-3.33
Na  0.2809  0.7191  0.2809  6 Tl 3.32-3.33
Tl  0.2536  0.8458  0.0000  1 Zn 3.18, 3 Na 3.26-3.32, 5 Tl 3.31-3.36
K  0.1893  0.5000  0.0000  6 Tl 3.72-3.77, 8 Na 3.79-4.10, 1 K 4.06
Tl  0.2763  0.5000  0.5000  6 Na 3.33-3.47, 4 Tl 3.39
Na  0.0000  0.5000  0.3315  4 Tl 3.26-3.47, 1 Na 3.61
Tl  0.5000  0.2763  0.5000  6 Na 3.33-3.47, 4 Tl 3.39
Tl  0.5000  0.5000  0.7237  6 Na 3.33-3.47, 4 Tl 3.39
K  0.5000  0.0000  0.1893  6 Tl 3.72-3.77, 8 Na 3.79-4.10, 1 K 4.06
K  0.0000  0.8107  0.5000  6 Tl 3.72-3.77, 8 Na 3.79-4.10, 1 K 4.06
Na  0.7191  0.7191  0.2809  6 Tl 3.32-3.33
K  0.8107  0.5000  0.0000  6 Tl 3.72-3.77, 8 Na 3.79-4.10, 1 K 4.06
Na  0.6685  0.0000  0.5000  4 Tl 3.26-3.47, 1 Na 3.61
Tl  0.0000  0.2536  0.1542  1 Zn 3.18, 3 Na 3.26-3.32, 5 Tl 3.31-3.36
Na  0.2809  0.2809  0.2809  6 Tl 3.32-3.33
Tl  0.0000  0.7464  0.1542  1 Zn 3.18, 3 Na 3.26-3.32, 5 Tl 3.31-3.36
K  0.0000  0.1893  0.5000  6 Tl 3.72-3.77, 8 Na 3.79-4.10, 1 K 4.06
Na  0.0000  0.5000  0.6685  4 Tl 3.26-3.47, 1 Na 3.61
Tl  0.7464  0.8458  0.0000  1 Zn 3.18, 3 Na 3.26-3.32, 5 Tl 3.31-3.36
Na  0.5000  0.3315  0.0000  4 Tl 3.26-3.47, 1 Na 3.61
Tl  0.0000  0.2536  0.8458  1 Zn 3.18, 3 Na 3.26-3.32, 5 Tl 3.31-3.36
Tl  0.7237  0.5000  0.5000  6 Na 3.33-3.47, 4 Tl 3.39
Tl  0.8458  0.0000  0.2536  1 Zn 3.18, 3 Na 3.26-3.32, 5 Tl 3.31-3.36
Tl  0.5000  0.5000  0.2763  6 Na 3.33-3.47, 4 Tl 3.39
Na  0.7191  0.7191  0.7191  6 Tl 3.32-3.33
Tl  0.1542  0.0000  0.7464  1 Zn 3.18, 3 Na 3.26-3.32, 5 Tl 3.31-3.36
Tl  0.7464  0.1542  0.0000  1 Zn 3.18, 3 Na 3.26-3.32, 5 Tl 3.31-3.36
Tl  0.8458  0.0000  0.7464  1 Zn 3.18, 3 Na 3.26-3.32, 5 Tl 3.31-3.36
Na  0.5000  0.6685  0.0000  4 Tl 3.26-3.47, 1 Na 3.61
Tl  0.5000  0.7237  0.5000  6 Na 3.33-3.47, 4 Tl 3.39
K  0.5000  0.0000  0.8107  6 Tl 3.72-3.77, 8 Na 3.79-4.10, 1 K 4.06
Na  0.7191  0.2809  0.2809  6 Tl 3.32-3.33
Na  0.3315  0.0000  0.5000  4 Tl 3.26-3.47, 1 Na 3.61
Na  0.7191  0.2809  0.7191  6 Tl 3.32-3.33
Tl  0.1542  0.0000  0.2536  1 Zn 3.18, 3 Na 3.26-3.32, 5 Tl 3.31-3.36
Tl  0.2536  0.1542  0.0000  1 Zn 3.18, 3 Na 3.26-3.32, 5 Tl 3.31-3.36
Tl  0.0000  0.7464  0.8458  1 Zn 3.18, 3 Na 3.26-3.32, 5 Tl 3.31-3.36

energy relative to the elements = -4.9 eV per formula unit
V = 31.672 A^3/atom
density = 5.8 Mg/m³
SG = Pm-3 (200)

(5)
Density functional theory data (PBE) for a relaxed Sr2LaCdIr crystal.

Cell: 5.9380 5.9380 5.4313 Å, 90.00 90.00 90.00°
Closest atoms and distances in Å follow each position.
Positions (direct):
Ir  0.0000  0.0000  0.0000  2 La 2.72, 4 Sr 2.97
Sr  0.5000  0.0000  0.0000  2 Ir 2.97
Sr  0.0000  0.5000  0.0000  2 Ir 2.97
Cd  0.5000  0.5000  0.5000  8 Sr 4.02, 4 La 4.20
La  0.0000  0.0000  0.5000  2 Ir 2.72

energy relative to the elements = -1.3 eV per formula unit
V = 38.302 A^3/atom
relative energy among the computed polymorphs = 0.000 eV/atom
density = 5.4 Mg/m³
SG = P4/mmm (123)

(6)
Density functional theory data (PBE) for a relaxed Cd5In3Hg4 crystal.

Cell: 5.7360 6.2564 10.0874 Å, 94.39 90.00 117.28°
Closest atoms and distances in Å follow each position.
Positions (direct):
Cd  0.6208  0.2416  0.9321  4 Cd 2.93-3.28, 2 In 3.11-3.21, 2 Hg 3.25
Cd  0.1181  0.2361  0.0893  4 Cd 2.93-3.28, 3 Hg 3.03-3.12
Hg  0.2486  0.4971  0.3716  2 Cd 2.98-3.08, 1 In 3.15
Hg  0.7514  0.5029  0.6284  2 Cd 2.98-3.08, 1 In 3.15
Cd  0.3792  0.7584  0.0679  4 Cd 2.93-3.28, 2 In 3.11-3.21, 2 Hg 3.25
In  0.6187  0.2375  0.2506  3 Cd 2.94-3.21, 1 Hg 2.98
Hg  0.8832  0.7664  0.2204  2 In 2.98-3.00, 4 Cd 3.03-3.25
In  0.0000  0.0000  0.5000  2 Cd 2.87, 4 Hg 3.00-3.15
Cd  0.5000  0.0000  0.5000  4 In 2.87-2.94, 2 Hg 2.98
In  0.3813  0.7625  0.7494  3 Cd 2.94-3.21, 1 Hg 2.98
Cd  0.8819  0.7639  0.9107  4 Cd 2.93-3.28, 3 Hg 3.03-3.12
Hg  0.1168  0.2336  0.7796  2 In 2.98-3.00, 4 Cd 3.03-3.25

energy relative to the elements = 0.7 eV per formula unit
V = 26.711 A^3/atom
relative energy among the computed polymorphs = 0.019 eV/atom
density = 8.9 Mg/m³
SG = C2/m (12)